VASP calculation (GGA+U) on FeCuSe2O6 after structural relaxation.

The structure in CIF format:
```
data_FeCuSe2O6
_chemical_formula_sum 'Fe1 Cu1 Se2 O6'
_space_group_name_H-M_alt 'P 1'
_space_group_IT_number 1
_space_group_name_Hall 'P 1'
_cell_length_a 6.7010
_cell_length_b 6.7010
_cell_length_c 6.7010
_cell_angle_alpha 46.38
_cell_angle_beta 46.38
_cell_angle_gamma 46.38
loop_
_atom_site_label
_atom_site_fract_x
_atom_site_fract_y
_atom_site_fract_z
Fe1 0.0000 0.0000 0.0000
Cu1 0.5865 0.5865 0.5865
Se1 0.3095 0.3095 0.3095
Se2 0.7723 0.7723 0.7723
O1 0.2180 0.5839 0.9890
O2 0.4088 0.9934 0.7888
O3 0.5839 0.9890 0.2180
O4 0.7888 0.4088 0.9934
O5 0.9890 0.2180 0.5839
O6 0.9934 0.7888 0.4088
```

Spin magnetization (μB per cell): 5.07
Energy (eV per atom): -5.46
ρ (g cm⁻³): 4.31